# 1
Entry from Alexandria: a relaxed TbErSc4 crystal (GGA-PBE).

Unit cell a=6.2528 b=6.2528 c=6.2528 alpha=60.00 beta=60.00 gamma=60.00
With the nearest neighbours (Å) after each atom.
Element x y z (fractional)
Sc  0.6250  0.6250  0.1252  6 Sc 3.13
Sc  0.6250  0.1252  0.6250  6 Sc 3.13
Sc  0.6250  0.6250  0.6250  6 Sc 3.13
Sc  0.1252  0.6250  0.6250  6 Sc 3.13
Tb  0.2500  0.2500  0.2500  12 Sc 3.67, 4 Er 3.83
Er  0.0000  0.0000  0.0000  12 Sc 3.67, 4 Tb 3.83

Output
- V: 28.8 Å³ per atom
- ΔE_f: 0.23 eV/atom
- E above lowest polymorph: 192.7 meV per atom
- Total moment: 6.025 μB/f.u.
- E: -0.4062 Ry per atom

# 2
Entry from Alexandria: a relaxed MgTa2W crystal (GGA-PBE).

Unit cell a=5.2884 b=5.2884 c=5.2884 alpha=141.54 beta=127.34 gamma=67.08
With the nearest neighbours (Å) after each atom.
Element x y z (fractional)
Mg  0.2500  0.7500  0.5000  4 W 2.92, 8 Ta 2.93-3.12
Ta  0.9828  0.9828  0.0000  2 W 2.69, 2 Mg 2.93, 4 Ta 2.94
Ta  0.5172  0.5172  0.0000  2 W 2.69, 2 Mg 2.93, 4 Ta 2.94
W  0.7500  0.2500  0.5000  4 Ta 2.69, 4 Mg 2.92

Output
- V: 18.0 Å³ per atom
- ΔE_f: 0.31 eV/atom
- Total moment: 0.000 μB/f.u.
- E: -0.6804 Ry per atom